(1)
Here is a geometry-optimized GeBi2O6 structure from Alexandria via LeMat-Bulk. Energies are from PBE-GGA.

a = 8.1774 Å, b = 8.1774 Å, c = 8.1774 Å
α = 150.55°, β = 150.55°, γ = 42.14°
Atoms (fractional coordinates):
Ge1 0.0000 0.0000 0.0000
Bi1 0.3287 0.3287 0.0000
Bi2 0.6713 0.6713 0.0000
O1 0.1365 0.1365 0.4327
O2 0.2500 0.7500 0.5000
O3 0.2962 0.8635 0.0000
O4 0.7038 0.7038 0.5673
O5 0.7500 0.2500 0.5000
O6 0.8635 0.2962 0.0000

Properties
Its raw total energy is -5.606 eV/atom. The value obtained for the density of states at the Fermi level is 6.71 states/eV/cell. As for the space-group type: I-42m (121).


(2)
Here is a geometry-optimized SrLi2W structure from Alexandria via LeMat-Bulk. Energies are from PBE-GGA.

a = 2.8488 Å, b = 4.4129 Å, c = 6.6065 Å
α = 90.00°, β = 90.00°, γ = 90.00°
Atoms (fractional coordinates):
Sr1 0.0000 0.0000 0.0000
Li1 0.5000 0.5000 0.3145
Li2 0.5000 0.5000 0.6855
W1 0.0000 0.0000 0.5000

Properties
Its raw total energy is -3.725 eV/atom. The value obtained for the density of states at the Fermi level is 4.42 states/eV/cell. As for the space-group type: Pmmm (47).